{
  "formula": "LaSmAsO",
  "functional": "PBE",
  "state": "relaxed",
  "lattice_angstrom": [[-0.612, -1.448, 4.020], [3.954, -1.732, -0.022], [3.605, 8.186, 3.496]],
  "species": ["Sm", "La", "O", "O", "As", "La", "As", "Sm"],
  "frac_coords": [[0.500, 0.000, 0.102], [0.500, 0.500, 0.500], [0.000, 0.000, 0.000], [0.500, 0.500, 0.000], [0.000, 0.500, 0.281], [0.000, 0.000, 0.500], [0.500, 0.000, 0.719], [0.000, 0.500, 0.898]],
  "energy_ev_per_atom": -6.650,
  "de_polymorph_kj_per_mol_atoms": 14.0,
  "spacegroup": "P4/nmm, No. 129"
}